Version A
{
  "formula": "Ba2CoCl",
  "functional": "PBE-GGA",
  "state": "optimized geometry",
  "m_tot_mub_per_fu": 0.122,
  "spacegroup": "P2/m",
  "volume_a3_per_cell": 120.46,
  "lattice": [[-1.254, 0.492, 3.576], [-0.103, -3.790, 0.486], [7.682, -3.675, 3.200]],
  "species": ["Co", "Ba", "Ba", "Cl"],
  "fractional_positions": [[0.500, 0.750, 0.750], [0.000, 0.026, 0.975], [0.000, 0.474, 0.525], [0.500, 0.250, 0.250]]
}

***

Version B
{
  "formula": "Ba2CoCl",
  "functional": "PBE-GGA",
  "state": "optimized geometry",
  "m_tot_mub_per_fu": 0.334,
  "spacegroup": "Pmmm",
  "volume_a3_per_cell": 132.85,
  "lattice": [[-1.671, -3.595, 4.848], [2.894, -3.289, -1.441], [3.363, 1.851, 2.532]],
  "species": ["Co", "Ba", "Ba", "Cl"],
  "fractional_positions": [[0.500, 0.875, 0.875], [0.000, 0.875, 0.875], [0.500, 0.375, 0.375], [0.000, 0.375, 0.375]]
}

***

Quick one: most stable of them? version B

***

Version A
{
  "formula": "Ba2CoCl",
  "functional": "PBE-GGA",
  "state": "optimized geometry",
  "m_tot_mub_per_fu": 0.388,
  "spacegroup": "R-3m",
  "volume_a3_per_cell": 137.99,
  "lattice": [[-3.947, 0.271, -1.940], [-0.689, -1.971, -3.880], [-3.927, -7.393, 1.947]],
  "species": ["Co", "Ba", "Ba", "Cl"],
  "fractional_positions": [[0.750, 0.750, 0.750], [0.007, 0.007, 0.976], [0.493, 0.493, 0.524], [0.250, 0.250, 0.250]]
}

***

Version B
{
  "formula": "Ba2CoCl",
  "functional": "PBE-GGA",
  "state": "optimized geometry",
  "m_tot_mub_per_fu": 0.310,
  "spacegroup": "F-43m",
  "volume_a3_per_cell": 119.55,
  "lattice": [[-3.151, 2.975, -3.434], [-3.053, -2.538, -3.849], [-5.507, -0.134, 0.485]],
  "species": ["Co", "Ba", "Ba", "Cl"],
  "fractional_positions": [[0.750, 0.750, 0.750], [0.000, 0.000, 0.000], [0.250, 0.250, 0.250], [0.500, 0.500, 0.500]]
}

***

Quick one: most stable of them? version A

***

Version A
{
  "formula": "BaCo2Cl",
  "functional": "PBE-GGA",
  "state": "optimized geometry",
  "m_tot_mub_per_fu": 3.158,
  "spacegroup": "Pmmm",
  "volume_a3_per_cell": 120.67,
  "lattice": [[4.471, 0.000, 0.000], [0.000, 4.446, 0.000], [0.000, 0.000, 6.070]],
  "species": ["Co", "Co", "Ba", "Cl"],
  "fractional_positions": [[0.000, 0.000, 0.079], [0.000, 0.000, 0.421], [0.500, 0.500, 0.250], [0.500, 0.500, 0.750]]
}

***

Version B
{
  "formula": "BaCo2Cl",
  "functional": "PBE-GGA",
  "state": "optimized geometry",
  "m_tot_mub_per_fu": 3.186,
  "spacegroup": "P4mm",
  "volume_a3_per_cell": 97.25,
  "lattice": [[-1.351, -0.123, -3.185], [-0.422, -3.422, 0.311], [-7.405, 1.194, 3.096]],
  "species": ["Co", "Co", "Ba", "Cl"],
  "fractional_positions": [[0.000, 0.000, 0.127], [0.500, 0.500, 0.169], [0.000, 0.000, 0.491], [0.500, 0.500, 0.713]]
}

***

Version C
{
  "formula": "BaCo2Cl",
  "functional": "PBE-GGA",
  "state": "optimized geometry",
  "m_tot_mub_per_fu": 3.353,
  "spacegroup": "P2/m",
  "volume_a3_per_cell": 110.40,
  "lattice": [[-2.191, 4.139, -3.929], [-2.348, -2.498, -1.322], [-3.320, 1.410, 3.337]],
  "species": ["Co", "Co", "Ba", "Cl"],
  "fractional_positions": [[0.000, 0.999, 0.121], [0.000, 0.501, 0.379], [0.500, 0.250, 0.250], [0.500, 0.750, 0.750]]
}

***

Version D
{
  "formula": "BaCo2Cl",
  "functional": "PBE-GGA",
  "state": "optimized geometry",
  "m_tot_mub_per_fu": 3.553,
  "spacegroup": "Immm",
  "volume_a3_per_cell": 99.56,
  "lattice": [[-1.067, -3.865, -5.455], [2.805, -5.905, -1.759], [-3.200, 3.649, 4.720]],
  "species": ["Co", "Co", "Ba", "Cl"],
  "fractional_positions": [[0.001, 0.001, 0.000], [0.499, 0.499, 0.000], [0.750, 0.250, 0.500], [0.250, 0.750, 0.500]]
}

***

Quick one: most stable of them? version B

***

Version A
{
  "formula": "BaCoCl4",
  "functional": "PBE-GGA",
  "state": "optimized geometry",
  "m_tot_mub_per_fu": 3.764,
  "spacegroup": "F-43m",
  "volume_a3_per_cell": 159.90,
  "lattice": [[-2.904, -0.140, 5.354], [-0.042, 4.935, 3.572], [-5.148, 3.169, 0.756]],
  "species": ["Ba", "Co", "Cl", "Cl", "Cl", "Cl"],
  "fractional_positions": [[0.000, 0.000, 0.000], [0.750, 0.750, 0.750], [0.873, 0.376, 0.376], [0.376, 0.376, 0.873], [0.376, 0.873, 0.376], [0.376, 0.376, 0.376]]
}

***

Version B
{
  "formula": "BaCoCl4",
  "functional": "PBE-GGA",
  "state": "optimized geometry",
  "m_tot_mub_per_fu": 3.000,
  "spacegroup": "I4_1/amd",
  "volume_a3_per_cell": 392.23,
  "lattice": [[7.654, -0.544, 2.386], [-4.285, 6.364, 2.386], [-0.314, -0.544, 8.011]],
  "species": ["Ba", "Ba", "Co", "Co", "Cl", "Cl", "Cl", "Cl", "Cl", "Cl", "Cl", "Cl"],
  "fractional_positions": [[0.875, 0.625, 0.250], [0.125, 0.375, 0.750], [0.625, 0.875, 0.750], [0.375, 0.125, 0.250], [0.271, 0.700, 0.929], [0.629, 0.700, 0.571], [0.200, 0.129, 0.071], [0.729, 0.300, 0.071], [0.200, 0.771, 0.429], [0.800, 0.871, 0.929], [0.371, 0.300, 0.429], [0.800, 0.229, 0.571]]
}

***

Quick one: most stable of them? version B

***

Version A
{
  "formula": "Ba2CoNCl",
  "functional": "PBE-GGA",
  "state": "optimized geometry",
  "m_tot_mub_per_fu": 0.000,
  "spacegroup": "P4/mmm",
  "volume_a3_per_cell": 118.06,
  "lattice": [[-4.428, -1.774, -3.207], [-0.273, -4.856, 3.064], [-2.272, 1.562, 2.273]],
  "species": ["N", "Co", "Ba", "Ba", "Cl"],
  "fractional_positions": [[0.000, 0.000, 0.000], [0.000, 0.000, 0.500], [0.000, 0.500, 0.000], [0.500, 0.000, 0.000], [0.500, 0.500, 0.500]]
}

***

Version B
{
  "formula": "Ba2CoNCl",
  "functional": "PBE-GGA",
  "state": "optimized geometry",
  "m_tot_mub_per_fu": 1.458,
  "spacegroup": "P4/mmm",
  "volume_a3_per_cell": 145.54,
  "lattice": [[-0.462, 5.073, -2.898], [0.348, -2.071, -3.681], [-5.822, -0.639, -0.191]],
  "species": ["N", "Co", "Ba", "Ba", "Cl"],
  "fractional_positions": [[0.000, 0.500, 0.000], [0.500, 0.500, 0.500], [0.000, 0.000, 0.500], [0.500, 0.000, 0.000], [0.000, 0.000, 0.000]]
}

***

Quick one: most stable of them? version A

***

Version A
{
  "formula": "BaCoPCl2",
  "functional": "PBE-GGA",
  "state": "optimized geometry",
  "m_tot_mub_per_fu": 1.326,
  "spacegroup": "P4/mmm",
  "volume_a3_per_cell": 112.73,
  "lattice": [[-1.568, -2.953, 3.793], [-0.894, -3.741, -3.282], [4.120, -1.473, 0.557]],
  "species": ["P", "Co", "Ba", "Cl", "Cl"],
  "fractional_positions": [[0.000, 0.000, 0.500], [0.000, 0.000, 0.000], [0.500, 0.500, 0.500], [0.000, 0.500, 0.000], [0.500, 0.000, 0.000]]
}

***

Version B
{
  "formula": "BaCoPCl2",
  "functional": "PBE-GGA",
  "state": "optimized geometry",
  "m_tot_mub_per_fu": 3.211,
  "spacegroup": "P4/mmm",
  "volume_a3_per_cell": 218.05,
  "lattice": [[5.780, 0.000, 0.000], [0.000, 5.780, 0.000], [0.000, 0.000, 6.527]],
  "species": ["P", "Co", "Ba", "Cl", "Cl"],
  "fractional_positions": [[0.000, 0.000, 0.500], [0.500, 0.500, 0.500], [0.000, 0.000, 0.000], [0.000, 0.500, 0.000], [0.500, 0.000, 0.000]]
}

***

Quick one: most stable of them? version A

***

Version A
{
  "formula": "BaCr2Cl",
  "functional": "PBE-GGA",
  "state": "optimized geometry",
  "m_tot_mub_per_fu": 5.926,
  "spacegroup": "I4_1/amd",
  "volume_a3_per_cell": 207.40,
  "lattice": [[-3.800, 0.473, 2.718], [2.707, -0.255, 3.829], [0.523, 9.453, 3.140]],
  "species": ["Cr", "Cr", "Cr", "Cr", "Ba", "Ba", "Cl", "Cl"],
  "fractional_positions": [[0.375, 0.125, 0.250], [0.375, 0.625, 0.250], [0.375, 0.625, 0.750], [0.875, 0.625, 0.750], [0.000, 0.000, 0.000], [0.750, 0.250, 0.500], [0.500, 0.500, 0.000], [0.250, 0.750, 0.500]]
}

***

Version B
{
  "formula": "BaCr2Cl",
  "functional": "PBE-GGA",
  "state": "optimized geometry",
  "m_tot_mub_per_fu": 0.320,
  "spacegroup": "Amm2",
  "volume_a3_per_cell": 98.61,
  "lattice": [[-1.483, -1.081, 3.025], [3.179, -1.350, 1.076], [3.350, 6.072, 3.812]],
  "species": ["Cr", "Cr", "Ba", "Cl"],
  "fractional_positions": [[0.000, 0.782, 0.060], [0.500, 0.226, 0.173], [0.000, 0.562, 0.502], [0.500, 0.930, 0.765]]
}

***

Quick one: most stable of them? version B

***

Version A
{
  "formula": "BaCr2Cl",
  "functional": "PBE-GGA",
  "state": "optimized geometry",
  "m_tot_mub_per_fu": 0.083,
  "spacegroup": "Imm2",
  "volume_a3_per_cell": 108.43,
  "lattice": [[-1.893, -0.831, 5.052], [1.039, -5.333, -0.532], [3.268, 4.372, 0.037]],
  "species": ["Cr", "Cr", "Ba", "Cl"],
  "fractional_positions": [[0.000, 0.000, 0.000], [0.832, 0.332, 0.500], [0.494, 0.494, 0.000], [0.175, 0.675, 0.500]]
}

***

Version B
{
  "formula": "BaCr2Cl",
  "functional": "PBE-GGA",
  "state": "optimized geometry",
  "m_tot_mub_per_fu": 0.000,
  "spacegroup": "R-3m",
  "volume_a3_per_cell": 86.76,
  "lattice": [[6.438, -0.020, -0.012], [5.151, 3.862, -0.012], [5.151, 1.708, 3.464]],
  "species": ["Cr", "Cr", "Ba", "Cl"],
  "fractional_positions": [[0.070, 0.070, 0.070], [0.430, 0.430, 0.430], [0.250, 0.250, 0.250], [0.750, 0.750, 0.750]]
}

***

Version C
{
  "formula": "BaCr2Cl",
  "functional": "PBE-GGA",
  "state": "optimized geometry",
  "m_tot_mub_per_fu": 3.092,
  "spacegroup": "P2/m",
  "volume_a3_per_cell": 98.92,
  "lattice": [[3.870, 0.137, 0.000], [0.200, 3.886, 0.000], [0.000, 0.000, 6.591]],
  "species": ["Cr", "Cr", "Ba", "Cl"],
  "fractional_positions": [[0.000, 0.000, 0.890], [0.000, 0.000, 0.610], [0.500, 0.500, 0.250], [0.500, 0.500, 0.750]]
}

***

Quick one: most stable of them? version A

***

Version A
{
  "formula": "Ba2CrCl",
  "functional": "PBE-GGA",
  "state": "optimized geometry",
  "m_tot_mub_per_fu": 4.515,
  "spacegroup": "Amm2",
  "volume_a3_per_cell": 152.10,
  "lattice": [[7.176, 0.023, -0.012], [5.914, 4.065, -0.012], [0.009, 0.003, 5.239]],
  "species": ["Cr", "Ba", "Ba", "Cl"],
  "fractional_positions": [[0.265, 0.265, 0.125], [0.001, 0.001, 0.125], [0.733, 0.733, 0.625], [0.500, 0.500, 0.625]]
}

***

Version B
{
  "formula": "Ba2CrCl",
  "functional": "PBE-GGA",
  "state": "optimized geometry",
  "m_tot_mub_per_fu": 5.322,
  "spacegroup": "F-43m",
  "volume_a3_per_cell": 140.84,
  "lattice": [[-2.993, 2.243, -4.485], [-1.204, -3.314, -4.656], [-5.484, -1.735, -1.010]],
  "species": ["Cr", "Ba", "Ba", "Cl"],
  "fractional_positions": [[0.750, 0.750, 0.750], [0.000, 0.000, 0.000], [0.250, 0.250, 0.250], [0.500, 0.500, 0.500]]
}

***

Version C
{
  "formula": "Ba2CrCl",
  "functional": "PBE-GGA",
  "state": "optimized geometry",
  "m_tot_mub_per_fu": 5.473,
  "spacegroup": "P2/m",
  "volume_a3_per_cell": 164.45,
  "lattice": [[-2.050, -1.317, 3.356], [1.747, -3.930, -0.475], [7.026, 2.566, 5.298]],
  "species": ["Cr", "Ba", "Ba", "Cl"],
  "fractional_positions": [[0.500, 0.750, 0.750], [0.000, 0.254, 0.982], [0.000, 0.246, 0.518], [0.500, 0.250, 0.250]]
}

***

Version D
{
  "formula": "Ba2CrCl",
  "functional": "PBE-GGA",
  "state": "optimized geometry",
  "m_tot_mub_per_fu": 6.378,
  "spacegroup": "Fm-3m",
  "volume_a3_per_cell": 148.56,
  "lattice": [[2.022, -5.493, -1.038], [-3.653, -4.660, 0.526], [-1.769, -2.952, -4.847]],
  "species": ["Cr", "Ba", "Ba", "Cl"],
  "fractional_positions": [[0.500, 0.500, 0.500], [0.250, 0.250, 0.250], [0.750, 0.750, 0.750], [0.000, 0.000, 0.000]]
}

***

Quick one: most stable of them? version C

***

Version A
{
  "formula": "Ba2CrCl",
  "functional": "PBE-GGA",
  "state": "optimized geometry",
  "m_tot_mub_per_fu": 4.678,
  "spacegroup": "Pmmm",
  "volume_a3_per_cell": 138.60,
  "lattice": [[5.970, 0.000, 0.000], [0.000, 5.996, 0.000], [0.000, 0.000, 3.872]],
  "species": ["Cr", "Ba", "Ba", "Cl"],
  "fractional_positions": [[0.000, 0.500, 0.500], [0.000, 0.000, 0.000], [0.500, 0.500, 0.000], [0.500, 0.000, 0.500]]
}

***

Version B
{
  "formula": "Ba2CrCl",
  "functional": "PBE-GGA",
  "state": "optimized geometry",
  "m_tot_mub_per_fu": 5.167,
  "spacegroup": "I-42d",
  "volume_a3_per_cell": 352.12,
  "lattice": [[-1.219, 2.577, 8.200], [6.580, -5.048, 2.565], [5.657, 2.304, 4.712]],
  "species": ["Cr", "Cr", "Ba", "Ba", "Ba", "Ba", "Cl", "Cl"],
  "fractional_positions": [[0.000, 0.000, 0.000], [0.750, 0.250, 0.500], [0.597, 0.125, 0.250], [0.153, 0.625, 0.250], [0.375, 0.403, 0.750], [0.875, 0.847, 0.750], [0.500, 0.500, 0.000], [0.250, 0.750, 0.500]]
}

***

Quick one: most stable of them? version A

***

Version A
{
  "formula": "Ba2CrCl",
  "functional": "PBE-GGA",
  "state": "optimized geometry",
  "m_tot_mub_per_fu": 4.765,
  "spacegroup": "Imm2",
  "volume_a3_per_cell": 155.73,
  "lattice": [[-4.227, 7.727, -2.542], [-8.111, 3.163, -2.874], [5.474, -4.815, 5.559]],
  "species": ["Cr", "Ba", "Ba", "Cl"],
  "fractional_positions": [[0.304, 0.804, 0.500], [0.959, 0.959, 0.000], [0.701, 0.201, 0.500], [0.536, 0.536, 0.000]]
}

***

Version B
{
  "formula": "Ba2CrCl",
  "functional": "PBE-GGA",
  "state": "optimized geometry",
  "m_tot_mub_per_fu": 4.156,
  "spacegroup": "P4/mmm",
  "volume_a3_per_cell": 152.49,
  "lattice": [[-2.902, 2.600, 2.696], [-2.675, -3.818, 0.802], [3.758, -1.482, 5.474]],
  "species": ["Cr", "Ba", "Ba", "Cl"],
  "fractional_positions": [[0.500, 0.500, 0.875], [0.000, 0.000, 0.875], [0.500, 0.500, 0.375], [0.000, 0.000, 0.375]]
}

***

Quick one: most stable of them? version B

***

Version A
{
  "formula": "Ba2CrCl",
  "functional": "PBE-GGA",
  "state": "optimized geometry",
  "m_tot_mub_per_fu": 3.750,
  "spacegroup": "R-3m",
  "volume_a3_per_cell": 151.52,
  "lattice": [[9.149, 0.030, 0.018], [8.045, 4.356, 0.018], [8.045, 2.052, 3.842]],
  "species": ["Cr", "Ba", "Ba", "Cl"],
  "fractional_positions": [[0.750, 0.750, 0.750], [0.000, 0.000, 0.000], [0.500, 0.500, 0.500], [0.250, 0.250, 0.250]]
}

***

Version B
{
  "formula": "Ba2CrCl",
  "functional": "PBE-GGA",
  "state": "optimized geometry",
  "m_tot_mub_per_fu": 5.393,
  "spacegroup": "Immm",
  "volume_a3_per_cell": 163.84,
  "lattice": [[-4.600, -4.192, 1.633], [3.820, -3.990, 3.300], [-1.893, 6.126, 0.546]],
  "species": ["Cr", "Ba", "Ba", "Cl"],
  "fractional_positions": [[0.250, 0.750, 0.500], [0.970, 0.970, 0.000], [0.530, 0.530, 0.000], [0.750, 0.250, 0.500]]
}

***

Quick one: most stable of them? version A